A relaxed structure of Dy3Al4Au2. Source: the Alexandria database, functional PBE.

## Properties
SG = C2/m, No. 12
D(E_F) = 4.30 states/eV per cell
E_form = -589 kJ/mol of formula units

Lattice parameters (Å, degrees): 4.544 5.818 8.443 71.31 74.39 67.02
Sites, in units of the cell vectors:
Al: 0.024 0.312 0.639
Dy: 0.324 0.698 0.653
Al: 0.736 0.602 0.926
Dy: 0.676 0.302 0.347
Au: 0.402 0.927 0.269
Al: 0.976 0.688 0.361
Au: 0.598 0.073 0.731
Al: 0.264 0.398 0.074
Dy: 0.000 0.000 0.000

---

A relaxed structure of Cs4KMg3F12. Source: the Alexandria database, functional PBE.

## Properties
ΔE_f (raw) = -2.951 eV/atom
SG = Im-3m, No. 229
D(E_F) = 25.55 states/eV per cell

Lattice parameters (Å, degrees): 7.692 7.692 7.692 109.47 109.47 109.47
Site moments in Bohr magnetons follow the coordinates.
Sites, in units of the cell vectors:
Cs: 0.000 0.000 0.500  0.01
F: 0.250 0.500 0.750  0.12
F: 0.750 0.250 0.500  0.12
F: 0.750 0.500 0.250  0.12
F: 0.286 0.286 0.000  0.08
F: 0.250 0.750 0.500  0.12
F: 0.714 0.000 0.714  0.08
F: 0.714 0.714 0.000  0.08
F: 0.500 0.750 0.250  0.12
F: 0.000 0.714 0.714  0.08
F: 0.500 0.250 0.750  0.12
Cs: 0.000 0.500 0.000  0.01
F: 0.286 0.000 0.286  0.08
Mg: 0.500 0.000 0.500  0.00
Cs: 0.500 0.000 0.000  0.01
Mg: 0.500 0.500 0.000  0.00
Mg: 0.000 0.500 0.500  0.00
Cs: 0.500 0.500 0.500  0.01
K: 0.000 0.000 0.000  0.00
F: 0.000 0.286 0.286  0.08

---

A relaxed structure of AlFePb2. Source: the Alexandria database, functional PBE.

## Properties
SG = R-3m, No. 166
D(E_F) = 2.00 states/eV per cell
E_form = 191 kJ/mol of formula units

Lattice parameters (Å, degrees): 8.409 8.409 8.409 24.79 24.79 24.79
Site moments in Bohr magnetons follow the coordinates.
Sites, in units of the cell vectors:
Pb: 0.493 0.493 0.493  -0.05
Al: 0.250 0.250 0.250  0.01
Fe: 0.750 0.750 0.750  2.56
Pb: 0.007 0.007 0.007  -0.05

---

A relaxed structure of La7Nd2Y3. Source: the Alexandria database, functional PBE.

## Properties
E above lowest polymorph = 0.00 kcal/mol of atoms
SG = P2/m, No. 10
D(E_F) = 18.17 states/eV per cell
E_form = 62 kJ/mol of formula units

Lattice parameters (Å, degrees): 3.612 6.595 18.507 74.71 90.00 90.00
Sites, in units of the cell vectors:
La: 0.500 0.056 0.171
La: 0.000 0.556 0.166
Y: 0.000 0.119 0.338
Y: 0.000 0.881 0.662
La: 0.000 0.444 0.834
Nd: 0.500 0.612 0.331
La: 0.500 0.230 0.508
La: 0.000 0.000 0.000
La: 0.500 0.770 0.492
La: 0.500 0.944 0.829
Y: 0.500 0.500 0.000
Nd: 0.500 0.388 0.669

---

A relaxed structure of MgFeNi2Rh. Source: the Alexandria database, functional PBE.

## Properties
SG = P4/mmm, No. 123
D(E_F) = 7.52 states/eV per cell
E_form = 485 kJ/mol of formula units

Lattice parameters (Å, degrees): 4.146 4.536 4.146 90.00 90.00 90.00
Sites, in units of the cell vectors:
Ni: 0.500 0.000 0.000
Rh: 0.500 0.500 0.500
Ni: 0.000 0.000 0.500
Fe: 0.000 0.000 0.000
Mg: 0.000 0.500 0.000

---

A relaxed structure of CoH2Pd2. Source: the Alexandria database, functional PBE.

## Properties
E above lowest polymorph = 1.48 kcal/mol of atoms
SG = P4/mbm, No. 127
D(E_F) = 12.33 states/eV per cell

Lattice parameters (Å, degrees): 5.902 5.902 2.860 90.00 90.00 90.00
Site moments in Bohr magnetons follow the coordinates.
Sites, in units of the cell vectors:
Pd: 0.332 0.168 0.500  0.13
Co: 0.500 0.500 0.000  1.85
Co: 0.000 0.000 0.000  1.84
Pd: 0.668 0.832 0.500  0.13
H: 0.298 0.798 0.000  0.00
H: 0.202 0.298 0.000  0.00
Pd: 0.832 0.332 0.500  0.15
H: 0.798 0.702 0.000  0.00
H: 0.702 0.202 0.000  0.00
Pd: 0.168 0.668 0.500  0.15

---

A relaxed structure of Cd3PAu. Source: the Alexandria database, functional PBE.

## Properties
E above lowest polymorph = 4.51 kcal/mol of atoms
SG = Pm-3m, No. 221
D(E_F) = 3.86 states/eV per cell
E_form = 260 kJ/mol of formula units

Lattice parameters (Å, degrees): 5.212 5.212 5.212 90.00 90.00 90.00
Sites, in units of the cell vectors:
Au: 0.000 0.000 0.000
P: 0.500 0.500 0.500
Cd: 0.500 0.000 0.000
Cd: 0.000 0.500 0.000
Cd: 0.000 0.000 0.500

---

A relaxed structure of TiReTc3. Source: the Alexandria database, functional PBE.

## Properties
E above lowest polymorph = 0.00 kcal/mol of atoms
SG = Pm-3m, No. 221
D(E_F) = 4.50 states/eV per cell
E_form = 691 kJ/mol of formula units

Lattice parameters (Å, degrees): 4.644 4.644 4.644 90.00 90.00 90.00
Sites, in units of the cell vectors:
Tc: 0.500 0.000 0.000
Re: 0.000 0.000 0.000
Ti: 0.500 0.500 0.500
Tc: 0.000 0.500 0.000
Tc: 0.000 0.000 0.500